(1)
LaH2Pt, optimized geometry, DFT PBE; crystal system = orthorhombic; density of states at the Fermi level = 0.3327 states/eV/atom; symmetry = Pnma; relative energy among the computed polymorphs = 7 meV per atom
1.0
-1.253 -4.118 0.801
4.257 -1.130 0.848
-1.661 2.871 12.162
H La Pt
8 4 4
Direct
0.250 0.591 0.203
0.750 0.474 0.448
0.250 0.974 0.052
0.250 0.526 0.552
0.250 0.909 0.703
0.750 0.091 0.297
0.750 0.409 0.797
0.750 0.026 0.948
0.250 0.218 0.873
0.750 0.718 0.627
0.750 0.782 0.127
0.250 0.282 0.373
0.750 0.712 0.876
0.750 0.788 0.376
0.250 0.288 0.124
0.250 0.212 0.624

---

(2)
RbLaH6Pt2, optimized geometry, DFT PBE; crystal system = monoclinic; E_tot = -4.2351 eV per atom; symmetry = C2/c
1.0
-4.724 0.758 -4.389
-4.523 -0.608 4.619
3.148 7.197 1.021
Rb La Pt H
2 2 4 12
Direct
0.898 0.102 0.750
0.102 0.898 0.250
0.429 0.571 0.750
0.571 0.429 0.250
0.887 0.553 0.631
0.553 0.887 0.131
0.113 0.447 0.369
0.447 0.113 0.869
0.635 0.323 0.948
0.181 0.336 0.176
0.677 0.365 0.552
0.323 0.635 0.448
0.731 0.085 0.205
0.819 0.664 0.824
0.085 0.731 0.705
0.664 0.819 0.324
0.365 0.677 0.052
0.269 0.915 0.795
0.915 0.269 0.295
0.336 0.181 0.676

---

(3)
La2HPtRh6, optimized geometry, DFT PBE; crystal system = trigonal; E_tot = -6.7694 eV per atom; density of states at the Fermi level = 1.0970 states/eV/atom; symmetry = R-3m
1.0
-4.984 2.481 0.050
-1.923 -3.981 5.614
-2.301 1.485 6.599
Rh La Pt H
6 2 1 1
Direct
0.273 0.208 0.455
0.273 0.728 0.936
0.792 0.728 0.935
0.727 0.272 0.064
0.208 0.272 0.065
0.727 0.792 0.545
0.718 0.282 0.564
0.282 0.718 0.436
0.000 0.000 0.000
0.500 0.500 0.000

---

(4)
LaH8PtRh2, optimized geometry, DFT PBE; crystal system = trigonal; E_tot = -4.6157 eV per atom; density of states at the Fermi level = 0.1947 states/eV/atom; symmetry = R-3
1.0
-2.849 -3.331 -2.036
-2.515 -3.053 2.777
-6.042 1.455 0.335
H La Rh Pt
8 1 2 1
Direct
0.921 0.634 0.149
0.189 0.189 0.433
0.079 0.366 0.851
0.296 0.921 0.149
0.704 0.079 0.851
0.634 0.296 0.149
0.811 0.811 0.567
0.366 0.704 0.851
0.500 0.500 0.500
0.711 0.711 0.866
0.289 0.289 0.134
0.000 0.000 0.000

---

(5)
LaH4PtRh2, optimized geometry, DFT PBE; crystal system = monoclinic; E_tot = -5.2537 eV per atom; density of states at the Fermi level = 0.3179 states/eV/atom; symmetry = C2
1.0
4.410 -0.126 -0.003
-0.126 4.399 -0.003
-2.140 -2.135 4.602
H Pt Rh La
4 1 2 1
Direct
0.504 0.652 0.661
0.833 0.325 0.300
0.466 0.975 0.300
0.158 0.010 0.661
0.729 0.729 0.457
0.231 0.231 0.461
0.485 0.985 0.972
0.981 0.481 0.962

---

(6)
LaH6RuPt, optimized geometry, DFT PBE; crystal system = hexagonal; E_tot = -4.7624 eV per atom; density of states at the Fermi level = 0.3870 states/eV/atom; symmetry = P-6m2
1.0
-1.966 4.316 0.738
-4.499 0.864 -1.433
-1.495 -1.344 3.882
H Ru La Pt
6 1 1 1
Direct
0.491 0.017 0.765
0.492 0.491 0.765
0.017 0.491 0.235
0.017 0.492 0.765
0.492 0.017 0.235
0.491 0.492 0.235
0.333 0.333 0.500
0.000 0.000 0.000
0.667 0.667 0.500

---

(7)
La2H6RuPt, optimized geometry, DFT PBE; crystal system = monoclinic; E_tot = -5.0617 eV per atom; density of states at the Fermi level = 0.2733 states/eV/atom; symmetry = C2/m
1.0
5.431 0.059 0.005
0.059 5.431 0.005
2.748 2.749 3.812
H La Pt Ru
6 2 1 1
Direct
0.728 0.728 0.002
0.263 0.737 0.000
0.265 0.265 0.472
0.735 0.735 0.528
0.272 0.272 0.998
0.737 0.263 0.000
0.750 0.250 0.500
0.250 0.750 0.500
0.000 0.000 0.000
0.500 0.500 0.000

---

(8)
LaSbHPt, optimized geometry, DFT PBE; crystal system = trigonal; E_tot = -5.5757 eV per atom; density of states at the Fermi level = 0.2387 states/eV/atom; symmetry = P3m1
1.0
-1.050 -4.045 -1.972
-0.478 0.538 4.565
-3.953 1.303 -0.567
Pt La Sb H
1 1 1 1
Direct
0.239 0.477 0.252
0.905 0.811 0.811
0.572 0.144 0.336
0.239 0.477 0.839

---

(9)
LaSiHPt6, optimized geometry, DFT PBE; crystal system = orthorhombic; E_tot = -6.0340 eV per atom; density of states at the Fermi level = 0.4026 states/eV/atom; symmetry = Imma
1.0
7.624 0.000 0.000
0.000 7.460 0.000
-3.812 -3.730 5.525
Pt H La Si
12 2 2 2
Direct
0.389 0.094 0.257
0.611 0.337 0.743
0.631 0.381 0.263
0.868 0.094 0.257
0.369 0.619 0.737
0.389 0.663 0.257
0.215 0.965 0.430
0.132 0.906 0.743
0.132 0.337 0.743
0.611 0.906 0.743
0.868 0.663 0.257
0.785 0.035 0.570
0.500 0.000 0.500
0.000 0.000 0.500
0.068 0.318 0.137
0.932 0.682 0.863
0.500 0.000 0.000
0.500 0.500 0.000

---

(10)
La2SnHPt6, optimized geometry, DFT PBE; crystal system = monoclinic; E_tot = -6.1140 eV per atom; density of states at the Fermi level = 0.2792 states/eV/atom; symmetry = C2/m
1.0
-2.566 3.167 4.143
-5.205 -5.033 0.625
-0.541 -2.139 5.376
H Pt La Sn
1 6 2 1
Direct
0.000 0.000 0.000
0.774 0.821 0.453
0.272 0.820 0.955
0.728 0.180 0.045
0.226 0.179 0.547
0.773 0.819 0.956
0.227 0.181 0.044
0.773 0.318 0.454
0.227 0.682 0.546
0.500 0.500 0.000

---

(11)
La2TlHPt, optimized geometry, DFT PBE; crystal system = tetragonal; E_tot = -4.9029 eV per atom; density of states at the Fermi level = 0.9121 states/eV/atom; symmetry = P4/mmm
1.0
5.415 0.000 0.000
0.000 5.415 0.000
0.000 0.000 3.876
H Tl La Pt
1 1 2 1
Direct
0.000 0.000 0.000
0.500 0.500 0.500
0.000 0.500 0.000
0.500 0.000 0.000
0.000 0.000 0.500

---

(12)
LaTlH8Pt2, optimized geometry, DFT PBE; crystal system = trigonal; E_tot = -3.8942 eV per atom; density of states at the Fermi level = 0.3795 states/eV/atom; symmetry = R-3m
1.0
5.045 0.000 0.000
2.522 4.369 0.000
2.522 1.456 6.704
H Tl Pt La
8 1 2 1
Direct
0.135 0.135 0.595
0.579 0.579 0.808
0.033 0.579 0.808
0.967 0.421 0.192
0.579 0.033 0.808
0.421 0.967 0.192
0.865 0.865 0.405
0.421 0.421 0.192
0.000 0.000 0.000
0.781 0.781 0.656
0.219 0.219 0.344
0.500 0.500 0.500

---

(13)
LaTlH6Pt2, optimized geometry, DFT PBE; crystal system = monoclinic; E_tot = -4.2141 eV per atom; density of states at the Fermi level = 0.1603 states/eV/atom; symmetry = C2/c
1.0
-4.169 2.959 -4.206
-3.472 -5.436 -1.490
-1.085 2.029 6.549
H Tl La Pt
12 2 2 4
Direct
0.278 0.910 0.697
0.139 0.574 0.398
0.805 0.914 0.951
0.574 0.139 0.898
0.722 0.090 0.303
0.426 0.861 0.102
0.861 0.426 0.602
0.914 0.805 0.451
0.195 0.086 0.049
0.086 0.195 0.549
0.090 0.722 0.803
0.910 0.278 0.197
0.567 0.433 0.250
0.433 0.567 0.750
0.142 0.858 0.250
0.858 0.142 0.750
0.840 0.671 0.779
0.671 0.840 0.279
0.160 0.329 0.221
0.329 0.160 0.721

---

(14)
La2ZnHPt, optimized geometry, DFT PBE; crystal system = tetragonal; density of states at the Fermi level = 0.4265 states/eV/atom; symmetry = P4/mmm; relative energy among the computed polymorphs = 0 meV per atom
1.0
5.264 0.000 0.000
0.000 5.264 0.000
0.000 0.000 3.799
H La Pt Zn
1 2 1 1
Direct
0.000 0.000 0.000
0.500 0.000 0.000
0.000 0.500 0.000
0.000 0.000 0.500
0.500 0.500 0.500

---

(15)
La2ZnHPt, optimized geometry, DFT PBE; crystal system = tetragonal; density of states at the Fermi level = 0.7100 states/eV/atom; symmetry = P4/mmm; relative energy among the computed polymorphs = 25 meV per atom
1.0
5.071 0.000 0.000
0.000 5.071 0.000
0.000 0.000 3.968
La Pt Zn H
2 1 1 1
Direct
0.000 0.500 0.000
0.500 0.000 0.000
0.500 0.500 0.500
0.000 0.000 0.500
0.000 0.000 0.000

---

(16)
LaPuH, optimized geometry, DFT PBE; crystal system = tetragonal; E_tot = -7.5097 eV per atom; density of states at the Fermi level = 1.3612 states/eV/atom; symmetry = P4/nmm
1.0
3.444 0.000 0.000
0.000 3.444 0.000
0.000 0.000 9.105
Pu La H
2 2 2
Direct
0.000 0.000 0.500
0.500 0.500 0.500
0.500 0.000 0.162
0.000 0.500 0.838
0.500 0.000 0.897
0.000 0.500 0.103

---

(17)
La3PuH, optimized geometry, DFT PBE; crystal system = cubic; E_tot = -6.5778 eV per atom; density of states at the Fermi level = 2.8123 states/eV/atom; symmetry = Pm-3m
1.0
5.152 0.000 0.000
0.000 5.152 0.000
0.000 0.000 5.152
Pu La H
1 3 1
Direct
0.500 0.500 0.500
0.500 0.000 0.000
0.000 0.500 0.000
0.000 0.000 0.500
0.000 0.000 0.000

---

(18)
La3Pu5H12, optimized geometry, DFT PBE; crystal system = cubic; E_tot = -6.6194 eV per atom; density of states at the Fermi level = 1.8538 states/eV/atom; symmetry = Ia-3d
1.0
11.690 0.000 0.000
-3.897 11.022 0.000
-3.897 -5.511 9.545
H Pu La
48 20 12
Direct
0.936 0.581 0.161
0.064 0.419 0.839
0.564 0.225 0.144
0.936 0.356 0.275
0.436 0.661 0.081
0.339 0.775 0.420
0.225 0.564 0.644
0.064 0.644 0.725
0.080 0.919 0.356
0.920 0.081 0.644
0.725 0.144 0.064
0.839 0.920 0.275
0.420 0.144 0.581
0.839 0.919 0.064
0.275 0.420 0.839
0.275 0.856 0.936
0.225 0.661 0.080
0.161 0.081 0.936
0.080 0.161 0.225
0.661 0.225 0.580
0.419 0.356 0.580
0.775 0.339 0.920
0.081 0.920 0.144
0.419 0.064 0.339
0.339 0.564 0.419
0.356 0.419 0.080
0.081 0.161 0.436
0.161 0.080 0.725
0.856 0.275 0.436
0.581 0.644 0.420
0.644 0.581 0.920
0.420 0.275 0.339
0.564 0.339 0.919
0.144 0.725 0.564
0.920 0.839 0.775
0.919 0.839 0.564
0.581 0.936 0.661
0.644 0.064 0.225
0.919 0.080 0.856
0.725 0.580 0.161
0.436 0.775 0.856
0.661 0.436 0.581
0.144 0.420 0.081
0.356 0.936 0.775
0.580 0.725 0.661
0.775 0.436 0.356
0.856 0.580 0.919
0.580 0.856 0.419
0.625 0.750 0.875
0.000 0.500 0.000
0.500 0.000 0.500
0.250 0.875 0.125
0.375 0.125 0.750
0.250 0.375 0.625
0.500 0.500 0.000
0.875 0.625 0.750
0.625 0.875 0.250
0.500 0.000 0.000
0.000 0.000 0.500
0.375 0.250 0.125
0.125 0.750 0.375
0.000 0.500 0.500
0.750 0.625 0.375
0.000 0.000 0.000
0.875 0.250 0.625
0.500 0.500 0.500
0.125 0.375 0.250
0.750 0.125 0.875
0.875 0.750 0.125
0.250 0.125 0.375
0.125 0.875 0.750
0.250 0.625 0.875
0.125 0.250 0.875
0.375 0.625 0.250
0.625 0.375 0.750
0.625 0.250 0.375
0.750 0.375 0.125
0.375 0.750 0.625
0.875 0.125 0.250
0.750 0.875 0.625

---

These records have total moment values of 0.0; 0.0; 0.0; 0.0; 0.0; 0.9; 0.0; 0.0; 0.0; 0.0; 0.0; 0.0; 0.0; 0.0; 0.0; 0.0; 6.5; 133.0 Bohr magnetons per cell, in the order they appear.